No. 1
VASP calculation (PBE) on a geometry-optimized TmHfCdIr structure.

The structure in POSCAR format:
```
TmHfCdIr
1.0
-4.6343 -0.2515 -1.4736
-1.8043 -4.2101 -1.6525
-3.2670 -2.4551 2.6478
Ir Cd Hf Tm
1 1 1 1
Cartesian
-7.2792 -5.1876 -0.3587
-2.4264 -1.7292 -0.1196
0.0000 0.0000 0.0000
-4.8528 -3.4584 -0.2392
```

## Properties
- Final energy: -6.47 eV/atom
- Formation energy: -0.423 eV per atom
- D(E_F): 4.1 states/eV per cell

No. 2
VASP calculation (PBE) on a geometry-optimized HfPa2Al6 structure.

The structure in POSCAR format:
```
HfPa2Al6
1.0
3.9665 -6.8702 0.0000
3.9665 6.8702 0.0000
0.0000 0.0000 3.2215
Al Pa Hf
6 2 1
Cartesian
1.2979 -2.2480 1.6108
2.6686 -4.6222 1.6108
1.2979 2.2480 1.6108
2.5957 0.0000 1.6108
2.6686 4.6222 1.6108
5.3373 0.0000 1.6108
3.9665 2.2901 0.0000
3.9665 -2.2901 0.0000
0.0000 0.0000 0.0000
```

## Properties
- Final energy: -5.99 eV/atom
- Formation energy: -0.282 eV per atom
- D(E_F): 7.6 states/eV per cell

No. 3
VASP calculation (PBE) on a geometry-optimized Ti2NiHIr structure.

The structure in POSCAR format:
```
Ti2NiHIr
1.0
4.0094 0.0000 0.0000
0.0000 4.0094 0.0000
0.0000 0.0000 3.7277
Ni H Ti Ir
1 1 2 1
Cartesian
2.0047 2.0047 1.8638
0.0000 0.0000 0.0000
0.0000 2.0047 0.0000
2.0047 0.0000 0.0000
0.0000 0.0000 1.8638
```

## Properties
- Final energy: -7.21 eV/atom
- Energy relative to the lowest polymorph listed for this composition: 106 meV/atom
- D(E_F): 4.9 states/eV per cell

No. 4
VASP calculation (PBE) on a geometry-optimized CoPS3 structure.

The structure in POSCAR format:
```
CoPS3
1.0
-3.0300 3.6066 3.3268
-2.6449 -4.3820 -2.6568
-0.7526 -4.2392 5.6112
Co P S
2 2 6
Cartesian
-3.2780 -1.1751 4.1384
-3.1496 -3.8395 2.1428
-5.8598 -3.5307 4.3367
-0.5678 -1.4839 1.9446
-4.7244 -5.0125 3.4240
-2.1434 -3.2317 4.1767
-1.7031 -0.0021 2.8573
-4.2842 -1.7829 2.1046
-1.5662 -2.8423 0.7299
-4.8613 -2.1723 5.5513
```

## Properties
- Final energy: -5.19 eV/atom
- Energy relative to the lowest polymorph listed for this composition: 0 meV/atom
- D(E_F): 3.2 states/eV per cell

No. 5
VASP calculation (PBE) on a geometry-optimized Dy6In2Ru structure.

The structure in POSCAR format:
```
Dy6In2Ru
1.0
5.1232 0.0000 -0.1967
0.0000 7.2355 0.0000
-2.2756 -3.6177 7.4885
In Ru Dy
2 1 6
Cartesian
2.6565 3.6177 2.3717
0.1911 0.0000 4.9200
0.0000 0.0000 0.0000
2.7609 -1.8797 5.0280
2.5616 1.6297 -0.0983
2.5616 5.6058 -0.0983
2.7609 1.8797 5.0280
0.0867 5.4974 2.2638
0.0867 1.7380 2.2638
```

## Properties
- Final energy: -4.87 eV/atom
- Formation energy: -0.166 eV per atom
- Energy relative to the lowest polymorph listed for this composition: 191 meV/atom
- D(E_F): 8.4 states/eV per cell

No. 6
VASP calculation (PBE) on a geometry-optimized SrYCdCu structure.

The structure in POSCAR format:
```
SrYCdCu
1.0
5.3207 0.0000 0.0000
2.6603 4.6078 0.0000
2.6603 1.5359 4.3443
Cd Cu Sr Y
1 1 1 1
Cartesian
7.9810 4.6078 3.2582
2.6603 1.5359 1.0861
5.3207 3.0719 2.1721
0.0000 0.0000 0.0000
```

## Properties
- Final energy: -3.39 eV/atom
- Formation energy: -0.105 eV per atom
- D(E_F): 2.8 states/eV per cell